(1)
Pm5Pr4Ho2: relaxed, PBE.

```
11
Lattice="12.2147 -1.7910 0.0000 12.2147 1.7910 0.0000 -0.6773 0.0000 8.8155" Properties=species:S:1:pos:R:3 pbc="T T T"
Pm 0.0000 0.0000 0.0000
Pm 7.3616 0.0000 4.6278
Pm 8.3900 0.0000 8.4149
Pm 15.3621 0.0000 0.4007
Pm 16.3904 0.0000 4.1878
Pr 4.9630 0.0000 7.2759
Pr 10.7820 0.0000 5.7643
Pr 12.9700 0.0000 3.0512
Pr 18.7891 0.0000 1.5397
Ho 1.6628 0.0000 6.1512
Ho 22.0893 0.0000 2.6644
```

Values from the calculation:
Density of states at the Fermi level ... 1.516 states/eV/atom
SG ... C2/m (12)
Total magnetic moment ... 0.000 μB/atom
E ... -4.634 eV/atom
Relative energy among the computed polymorphs ... 0 meV/atom

=====

(2)
Pm12PrHo7: relaxed, PBE.

```
20
Lattice="6.6942 3.8649 4.3089 -6.6942 3.8649 4.3089 0.0000 -7.7298 4.3089" Properties=species:S:1:pos:R:3 pbc="T T T"
Pm -1.7549 -4.6902 4.3089
Pm -4.9393 0.8253 4.3089
Pm 0.0000 -2.0668 2.9847
Pm -1.7899 1.0334 2.9847
Pm 1.7549 -4.6902 4.3089
Pm -3.1844 3.8649 4.3089
Pm 1.7899 1.0334 2.9847
Pm -1.7899 -1.0334 9.9419
Pm 4.9393 0.8253 4.3089
Pm 3.1844 3.8649 4.3089
Pm 1.7899 -1.0334 9.9419
Pm 0.0000 2.0668 9.9419
Pr 0.0000 0.0000 6.4633
Ho 0.0000 0.0000 0.0000
Ho -2.9300 -1.6916 5.8347
Ho 0.0000 -3.3833 7.0920
Ho -2.9300 1.6917 7.0920
Ho 2.9300 -1.6917 5.8347
Ho 0.0000 3.3833 5.8347
Ho 2.9300 1.6917 7.0920
```

Values from the calculation:
Density of states at the Fermi level ... 1.907 states/eV/atom
SG ... R-3m (166)
Total magnetic moment ... 0.028 μB/atom
E ... -4.591 eV/atom
Relative energy among the computed polymorphs ... 0 meV/atom

=====

(3)
Pm6Pr2Ho5: relaxed, PBE.

```
26
Lattice="11.8372 0.0000 0.0000 0.0000 20.4929 0.0000 0.0000 0.0000 3.6424" Properties=species:S:1:pos:R:3 pbc="T T T"
Pm 0.7012 1.5778 0.0000
Pm 0.9387 7.4747 0.0000
Pm 2.1032 12.8308 1.8212
Pm 3.8155 2.5844 1.8212
Pm 4.9799 17.7211 0.0000
Pm 5.2174 11.8243 0.0000
Pm 6.6199 8.6687 0.0000
Pm 6.8573 2.7718 0.0000
Pm 8.0218 17.9086 1.8212
Pm 9.7341 7.6621 1.8212
Pm 10.8985 13.0183 0.0000
Pm 11.1360 18.9151 0.0000
Pr 1.9734 16.0637 0.0000
Pr 3.9452 5.8172 0.0000
Pr 7.8920 14.6757 0.0000
Pr 9.8638 4.4293 0.0000
Ho 0.0000 10.2465 1.8212
Ho 1.1115 4.5448 1.8212
Ho 2.3615 19.3667 1.8212
Ho 3.5571 9.1202 1.8212
Ho 4.8072 14.7912 1.8212
Ho 5.9186 0.0000 1.8212
Ho 7.0301 5.7017 1.8212
Ho 8.2801 11.3727 1.8212
Ho 9.4758 1.1263 1.8212
Ho 10.7258 15.9482 1.8212
```

Values from the calculation:
Density of states at the Fermi level ... 1.201 states/eV/atom
SG ... Pbam (55)
Total magnetic moment ... 0.000 μB/atom
E ... -4.588 eV/atom

=====

(4)
Pm5PrHo4: relaxed, PBE.

```
10
Lattice="8.6075 -1.7804 0.0000 8.6075 1.7804 0.0000 -3.7650 0.0000 10.8670" Properties=species:S:1:pos:R:3 pbc="T T T"
Pm 0.0000 0.0000 0.0000
Pm 1.6496 0.0000 9.6178
Pm 3.7513 0.0000 4.5711
Pm 9.6986 0.0000 6.2959
Pm 11.8003 0.0000 1.2492
Pr -1.8825 0.0000 5.4335
Ho 0.6922 0.0000 3.2228
Ho 6.3960 0.0000 2.2556
Ho 7.0538 0.0000 8.6114
Ho 12.7577 0.0000 7.6442
```

Values from the calculation:
Density of states at the Fermi level ... 1.363 states/eV/atom
SG ... C2/m (12)
Total magnetic moment ... 0.000 μB/atom
E ... -4.647 eV/atom
Relative energy among the computed polymorphs ... 0 meV/atom

=====

(5)
Pm7Pr12Ho: relaxed, PBE.

```
20
Lattice="9.5246 5.4990 2.3248 -9.5246 5.4990 2.3248 0.0000 -10.9980 2.3248" Properties=species:S:1:pos:R:3 pbc="T T T"
Pm 0.0000 0.0000 0.0000
Pm -1.5345 -2.4474 1.9456
Pm -1.3523 2.5526 1.9456
Pm 2.8868 -0.1052 1.9456
Pm -2.8868 0.1052 5.0289
Pm 1.3522 -2.5526 5.0289
Pm 1.5345 2.4474 5.0289
Pr -5.4682 -5.4980 3.1902
Pr -7.4955 1.9866 3.7843
Pr -0.6503 -5.3720 2.9681
Pr -4.9775 -2.1228 4.0064
Pr -4.3271 3.2492 2.9681
Pr 2.0273 -7.4846 3.7843
Pr -2.0273 7.4846 3.1902
Pr 4.3271 -3.2492 4.0064
Pr 4.9775 2.1228 2.9681
Pr 0.6503 5.3720 4.0064
Pr 7.4955 -1.9866 3.1902
Pr 5.4682 5.4980 3.7843
Ho 0.0000 0.0000 3.4872
```

Values from the calculation:
Density of states at the Fermi level ... 1.265 states/eV/atom
SG ... R-3 (148)
Total magnetic moment ... 0.000 μB/atom
E ... -4.497 eV/atom
Relative energy among the computed polymorphs ... 48 meV/atom

=====

(6)
Pm7Pr2Ho: relaxed, PBE.

```
10
Lattice="3.3697 -14.7277 0.0000 3.3697 14.7277 0.0000 0.0000 0.0000 3.4985" Properties=species:S:1:pos:R:3 pbc="T T T"
Pm 0.0000 0.0000 0.0000
Pm 1.7263 2.8804 0.0000
Pm 3.3697 5.5304 1.7492
Pm 1.7263 -2.8804 0.0000
Pm 5.0132 2.8804 0.0000
Pm 3.3697 -5.5304 1.7492
Pm 5.0132 -2.8804 0.0000
Pr 3.3697 8.7060 0.0000
Pr 3.3697 -8.7060 0.0000
Ho 3.3697 0.0000 1.7492
```

Values from the calculation:
Density of states at the Fermi level ... 1.524 states/eV/atom
SG ... Cmmm (65)
Total magnetic moment ... 0.000 μB/atom
E ... -4.592 eV/atom
Relative energy among the computed polymorphs ... 0 meV/atom